(1)
Material: ReSi2P
Method: DFT, GGA-PBE
State: relaxed

Geometry as CIF:
```
data_ReSi2P
_space_group_name_H-M_alt 'P 1'
_space_group_IT_number 1
_cell_length_a 3.1478
_cell_length_b 3.1253
_cell_length_c 5.8894
_cell_angle_alpha 90.00
_cell_angle_beta 102.37
_cell_angle_gamma 90.00
loop_
_space_group_symop_operation_xyz
'x,y,z'
loop_
_atom_site_label
_atom_site_fract_x
_atom_site_fract_y
_atom_site_fract_z
Re1 0.0000 0.0000 0.0000
Si1 0.4144 0.5000 0.7656
Si2 0.5856 0.5000 0.2344
P1 0.0000 0.0000 0.5000
```

## Properties
VASP energy, eV/atom: -7.016
Total magnetic moment, Bohr magnetons per cell: 0.000
ΔE_f (raw), meV/atom: 161

=====

(2)
Material: ReSi2P
Method: DFT, GGA-PBE
State: relaxed

Geometry as CIF:
```
data_ReSi2P
_space_group_name_H-M_alt 'P 1'
_space_group_IT_number 1
_cell_length_a 4.2539
_cell_length_b 4.2539
_cell_length_c 4.2539
_cell_angle_alpha 60.00
_cell_angle_beta 60.00
_cell_angle_gamma 60.00
loop_
_space_group_symop_operation_xyz
'x,y,z'
loop_
_atom_site_label
_atom_site_fract_x
_atom_site_fract_y
_atom_site_fract_z
Re1 0.0000 0.0000 0.0000
Si1 0.5000 0.5000 0.5000
Si2 0.7500 0.7500 0.7500
P1 0.2500 0.2500 0.2500
```

## Properties
VASP energy, eV/atom: -6.799
Total magnetic moment, Bohr magnetons per cell: 0.000
ΔE_f (raw), meV/atom: 377

=====

(3)
Material: ReSi2P
Method: DFT, GGA-PBE
State: relaxed

Geometry as CIF:
```
data_ReSi2P
_space_group_name_H-M_alt 'P 1'
_space_group_IT_number 1
_cell_length_a 4.4250
_cell_length_b 4.4250
_cell_length_c 4.3527
_cell_angle_alpha 94.95
_cell_angle_beta 94.95
_cell_angle_gamma 40.38
loop_
_space_group_symop_operation_xyz
'x,y,z'
loop_
_atom_site_label
_atom_site_fract_x
_atom_site_fract_y
_atom_site_fract_z
Re1 0.0000 0.0000 0.0000
Si1 0.2620 0.2620 0.7579
Si2 0.4946 0.4946 0.5022
P1 0.7247 0.7247 0.2378
```

## Properties
VASP energy, eV/atom: -7.051
Total magnetic moment, Bohr magnetons per cell: 0.000
ΔE_f (raw), meV/atom: 125

=====

(4)
Material: ReSiP
Method: DFT, GGA-PBE
State: relaxed

Geometry as CIF:
```
data_ReSiP
_space_group_name_H-M_alt 'P 1'
_space_group_IT_number 1
_cell_length_a 5.5178
_cell_length_b 5.5178
_cell_length_c 5.5178
_cell_angle_alpha 148.66
_cell_angle_beta 148.66
_cell_angle_gamma 44.91
loop_
_space_group_symop_operation_xyz
'x,y,z'
loop_
_atom_site_label
_atom_site_fract_x
_atom_site_fract_y
_atom_site_fract_z
Re1 0.0000 0.0000 0.0000
Si1 0.6522 0.6522 0.0000
P1 0.3714 0.3714 0.0000
```

## Properties
VASP energy, eV/atom: -7.599
ΔE to the lowest computed polymorph, meV per atom: 323
Total magnetic moment, Bohr magnetons per cell: 0.000
ΔE_f (raw), meV/atom: 161

=====

(5)
Material: ReSi2P
Method: DFT, GGA-PBE
State: relaxed

Geometry as CIF:
```
data_ReSi2P
_space_group_name_H-M_alt 'P 1'
_space_group_IT_number 1
_cell_length_a 2.9238
_cell_length_b 2.9238
_cell_length_c 7.4797
_cell_angle_alpha 90.00
_cell_angle_beta 90.00
_cell_angle_gamma 114.95
loop_
_space_group_symop_operation_xyz
'x,y,z'
loop_
_atom_site_label
_atom_site_fract_x
_atom_site_fract_y
_atom_site_fract_z
Re1 0.0000 0.0000 0.0000
Si1 0.0000 0.0000 0.4912
Si2 0.5000 0.5000 0.7439
P1 0.5000 0.5000 0.2465
```

## Properties
VASP energy, eV/atom: -6.724
Total magnetic moment, Bohr magnetons per cell: 0.000
ΔE_f (raw), meV/atom: 452

=====

(6)
Material: ReSiP
Method: DFT, GGA-PBE
State: relaxed

Geometry as CIF:
```
data_ReSiP
_space_group_name_H-M_alt 'P 1'
_space_group_IT_number 1
_cell_length_a 6.8438
_cell_length_b 6.8438
_cell_length_c 3.0724
_cell_angle_alpha 90.00
_cell_angle_beta 90.00
_cell_angle_gamma 120.00
loop_
_space_group_symop_operation_xyz
'x,y,z'
loop_
_atom_site_label
_atom_site_fract_x
_atom_site_fract_y
_atom_site_fract_z
Re1 0.0000 0.0000 0.0000
Re2 0.3333 0.6667 0.5000
Re3 0.6667 0.3333 0.5000
Si1 0.0000 0.6222 0.0000
Si2 0.3778 0.3778 0.0000
Si3 0.6222 0.0000 0.0000
P1 0.0000 0.2815 0.5000
P2 0.2815 0.0000 0.5000
P3 0.7185 0.7185 0.5000
```

## Properties
VASP energy, eV/atom: -7.922
ΔE to the lowest computed polymorph, meV per atom: 0
Total magnetic moment, Bohr magnetons per cell: 0.004
ΔE_f (raw), meV/atom: -161

=====

Question: Number 4 is which compound?
Answer: ReSiP

=====

Question: Which of these has the lowest ΔE_f (raw)?
Answer: number 6

=====

Question: Look up the VASP energy of the fifth one.
Answer: -6.724 eV/atom